Record 1
! Li2MoPb | Alexandria | PBE | optimized geometry; values from VASP
&SYSTEM
  ibrav = 0, nat = 4, ntyp = 3
/
ATOMIC_SPECIES
Li 6.94 Li.upf
Mo 95.94 Mo.upf
Pb 207.20 Pb.upf
CELL_PARAMETERS angstrom
-1.354 -2.442 -1.737
-1.972 -1.619 3.812
-3.815 2.702 -0.826
ATOMIC_POSITIONS crystal
Li 0.000 0.000 0.000
Li 0.500 0.500 0.000
Mo 0.500 0.000 0.500
Pb 0.000 0.500 0.500
! Magnetization ... 0.000 μB/f.u.
! Formation energy ... 0.328 eV per atom
! Raw total energy ... -4.264 eV/atom

***

Record 2
! LiMoPb2 | Alexandria | PBE | optimized geometry; values from VASP
&SYSTEM
  ibrav = 0, nat = 4, ntyp = 3
/
ATOMIC_SPECIES
Li 6.94 Li.upf
Mo 95.94 Mo.upf
Pb 207.20 Pb.upf
CELL_PARAMETERS angstrom
-1.812 5.409 -0.413
-4.385 3.665 -0.217
-0.242 0.906 4.890
ATOMIC_POSITIONS crystal
Li 0.511 0.511 0.520
Mo 0.246 0.246 0.222
Pb 0.991 0.991 0.050
Pb 0.753 0.753 0.708
! Magnetization ... 0.000 μB/f.u.
! Formation energy ... 0.402 eV per atom
! Offset from the most stable computed form ... 121 meV per atom
! Raw total energy ... -4.638 eV/atom

***

Record 3
! LiMoPb | Alexandria | PBE | optimized geometry; values from VASP
&SYSTEM
  ibrav = 0, nat = 3, ntyp = 3
/
ATOMIC_SPECIES
Li 6.94 Li.upf
Mo 95.94 Mo.upf
Pb 207.20 Pb.upf
CELL_PARAMETERS angstrom
-5.856 4.358 -1.382
-6.685 2.645 0.906
0.742 2.667 1.091
ATOMIC_POSITIONS crystal
Li 0.992 0.992 0.008
Mo 0.337 0.337 0.663
Pb 0.671 0.671 0.329
! Magnetization ... 0.000 μB/f.u.
! Formation energy ... 0.537 eV per atom
! Offset from the most stable computed form ... 24 meV per atom
! Raw total energy ... -4.947 eV/atom

***

Record 4
! Li2MoPb | Alexandria | PBE | optimized geometry; values from VASP
&SYSTEM
  ibrav = 0, nat = 4, ntyp = 3
/
ATOMIC_SPECIES
Li 6.94 Li.upf
Mo 95.94 Mo.upf
Pb 207.20 Pb.upf
CELL_PARAMETERS angstrom
-4.658 -1.022 -1.339
1.001 -1.956 -1.991
-0.110 -3.785 3.272
ATOMIC_POSITIONS crystal
Li 0.000 0.965 0.033
Li 0.000 0.535 0.467
Mo 0.500 0.250 0.250
Pb 0.500 0.750 0.750
! Magnetization ... 0.000 μB/f.u.
! Formation energy ... 0.349 eV per atom
! Raw total energy ... -4.243 eV/atom

***

Record 5
! LiMoPb2 | Alexandria | PBE | optimized geometry; values from VASP
&SYSTEM
  ibrav = 0, nat = 4, ntyp = 3
/
ATOMIC_SPECIES
Li 6.94 Li.upf
Mo 95.94 Mo.upf
Pb 207.20 Pb.upf
CELL_PARAMETERS angstrom
4.474 0.000 0.000
0.000 3.579 -0.007
0.000 1.804 5.291
ATOMIC_POSITIONS crystal
Li 0.000 0.716 0.445
Mo 0.500 0.533 0.807
Pb 0.000 0.994 0.884
Pb 0.500 0.256 0.364
! Magnetization ... 0.000 μB/f.u.
! Formation energy ... 0.358 eV per atom
! Offset from the most stable computed form ... 78 meV per atom
! Raw total energy ... -4.682 eV/atom

***

Record 6
! LiMoPb2 | Alexandria | PBE | optimized geometry; values from VASP
&SYSTEM
  ibrav = 0, nat = 4, ntyp = 3
/
ATOMIC_SPECIES
Li 6.94 Li.upf
Mo 95.94 Mo.upf
Pb 207.20 Pb.upf
CELL_PARAMETERS angstrom
9.353 0.008 0.005
8.764 3.266 0.005
8.764 1.584 2.856
ATOMIC_POSITIONS crystal
Li 0.250 0.250 0.250
Mo 0.750 0.750 0.750
Pb 0.002 0.002 0.002
Pb 0.498 0.498 0.498
! Magnetization ... 0.248 μB/f.u.
! Formation energy ... 0.281 eV per atom
! Offset from the most stable computed form ... 0 meV per atom
! Raw total energy ... -4.760 eV/atom

***

Record 7
! LiMoPb2 | Alexandria | PBE | optimized geometry; values from VASP
&SYSTEM
  ibrav = 0, nat = 4, ntyp = 3
/
ATOMIC_SPECIES
Li 6.94 Li.upf
Mo 95.94 Mo.upf
Pb 207.20 Pb.upf
CELL_PARAMETERS angstrom
6.283 0.001 0.002
-2.968 4.695 0.003
0.348 1.030 2.938
ATOMIC_POSITIONS crystal
Li 0.000 0.500 0.500
Mo 0.500 0.500 0.000
Pb 0.000 0.000 0.000
Pb 0.500 0.000 0.500
! Magnetization ... 0.000 μB/f.u.
! Formation energy ... 0.452 eV per atom
! Offset from the most stable computed form ... 172 meV per atom
! Raw total energy ... -4.588 eV/atom

***

Record 8
! LiMoPb3 | Alexandria | PBE | optimized geometry; values from VASP
&SYSTEM
  ibrav = 0, nat = 5, ntyp = 3
/
ATOMIC_SPECIES
Pb 207.20 Pb.upf
Mo 95.94 Mo.upf
Li 6.94 Li.upf
CELL_PARAMETERS angstrom
5.085 0.000 0.000
0.000 5.085 0.000
0.000 0.000 5.085
ATOMIC_POSITIONS crystal
Pb 0.000 0.500 0.000
Pb 0.000 0.000 0.500
Pb 0.500 0.000 0.000
Mo 0.500 0.500 0.500
Li 0.000 0.000 0.000
! Magnetization ... 3.970 μB/f.u.
! Formation energy ... 0.850 eV per atom
! Offset from the most stable computed form ... 438 meV per atom
! Raw total energy ... -3.924 eV/atom

***

What did the eighth record say?
! LiMoPb3 | Alexandria | PBE | optimized geometry; values from VASP
&SYSTEM
  ibrav = 0, nat = 5, ntyp = 3
/
ATOMIC_SPECIES
Pb 207.20 Pb.upf
Mo 95.94 Mo.upf
Li 6.94 Li.upf
CELL_PARAMETERS angstrom
5.085 0.000 0.000
0.000 5.085 0.000
0.000 0.000 5.085
ATOMIC_POSITIONS crystal
Pb 0.000 0.500 0.000
Pb 0.000 0.000 0.500
Pb 0.500 0.000 0.000
Mo 0.500 0.500 0.500
Li 0.000 0.000 0.000
! Magnetization ... 3.970 μB/f.u.
! Formation energy ... 0.850 eV per atom
! Offset from the most stable computed form ... 438 meV per atom
! Raw total energy ... -3.924 eV/atom

***

Q: Number 2 is which compound?
A: LiMoPb2